Below is an optimized crystal structure of TbInAsO, with properties calculated at the PBE-GGA level.

Structure (CIF):
```
data_TbInAsO
_chemical_formula_sum 'Tb2 In2 As2 O2'
_space_group_name_H-M_alt 'P m c 21'
_space_group_IT_number 26
_cell_length_a 5.514
_cell_length_b 5.814
_cell_length_c 5.907
_cell_angle_alpha 90.00
_cell_angle_beta 90.00
_cell_angle_gamma 90.00
loop_
_space_group_symop_operation_xyz
'x,y,z'
'-x,-y,z+1/2'
'-x,y,z'
'x,-y,z+1/2'
loop_
_atom_site_label
_atom_site_fract_x
_atom_site_fract_y
_atom_site_fract_z
Tb1 0.000 0.189 0.000
In1 0.500 0.231 0.390
As1 0.500 0.274 0.873
O1 0.000 0.145 0.356
```

calculated volume	189.4	Å³/cell
uncorrected energy	-5.62	eV/atom